VASP calculation (PBE) on a relaxed structure of Pm4Nd2N.

Results
- energy above the lowest structure with this stoichiometry (meV/atom) = 0
- space group = R-3m
- uncorrected energy (eV per atom) = -5.650
- density (g/cm3) = 7.0

a b c (Å): 18.4774 18.4774 18.4774
angles (deg): 11.31 11.31 11.31
Positions (direct):
1 Pm 0.1390 0.1390 0.1390
2 Pm 0.3584 0.3584 0.3584
3 Pm 0.6416 0.6416 0.6416
4 Pm 0.8610 0.8610 0.8610
5 Nd 0.2468 0.2468 0.2468
6 Nd 0.7532 0.7532 0.7532
7 N 0.0000 0.0000 0.0000

---

VASP calculation (PBE) on a relaxed structure of Pm8NdN6.

Results
- space group = R-3
- uncorrected energy (eV per atom) = -7.328
- density (g/cm3) = 7.3

a b c (Å): 9.8974 9.8974 9.8974
angles (deg): 37.05 37.05 37.05
Positions (direct):
1 Pm 0.0647 0.3979 0.7311
2 Pm 0.1667 0.1667 0.1667
3 Pm 0.2689 0.9353 0.6021
4 Pm 0.3979 0.7311 0.0647
5 Pm 0.6021 0.2689 0.9353
6 Pm 0.7311 0.0647 0.3979
7 Pm 0.8333 0.8333 0.8333
8 Pm 0.9353 0.6021 0.2689
9 Nd 0.5000 0.5000 0.5000
10 N 0.1079 0.7783 0.4431
11 N 0.2217 0.5569 0.8921
12 N 0.4431 0.1079 0.7783
13 N 0.5569 0.8921 0.2217
14 N 0.7783 0.4431 0.1079
15 N 0.8921 0.2217 0.5569

---

VASP calculation (PBE) on a relaxed structure of PmPr2NdN4.

Results
- space group = P2/m
- uncorrected energy (eV per atom) = -7.888
- density (g/cm3) = 7.5

a b c (Å): 6.3409 3.6639 6.3418
angles (deg): 90.00 109.42 90.00
Positions (direct):
1 Pm 0.0000 0.0000 0.0000
2 Pr 0.0000 0.5000 0.5000
3 Pr 0.5000 0.0000 0.5000
4 Nd 0.5000 0.5000 0.0000
5 N 0.2477 0.5000 0.2461
6 N 0.2499 0.0000 0.7532
7 N 0.7501 0.0000 0.2468
8 N 0.7523 0.5000 0.7539

---

VASP calculation (PBE) on a relaxed structure of Pm2PrNdN4.

Results
- space group = P2/m
- uncorrected energy (eV per atom) = -7.922
- density (g/cm3) = 7.7

a b c (Å): 6.3080 3.6449 6.3090
angles (deg): 90.00 109.42 90.00
Positions (direct):
1 Pm 0.0000 0.0000 0.0000
2 Pm 0.5000 0.5000 0.0000
3 Pr 0.0000 0.5000 0.5000
4 Nd 0.5000 0.0000 0.5000
5 N 0.2500 0.5000 0.2469
6 N 0.2523 0.0000 0.7541
7 N 0.7477 0.0000 0.2459
8 N 0.7500 0.5000 0.7531

---

VASP calculation (PBE) on a relaxed structure of Pm2NdPuN4.

Results
- space group = P2/m
- uncorrected energy (eV per atom) = -9.102
- density (g/cm3) = 9.4

a b c (Å): 6.1920 3.5892 6.1975
angles (deg): 90.00 109.31 90.00
Positions (direct):
1 Pm 0.0000 0.0000 0.0000
2 Pm 0.0000 0.5000 0.5000
3 Nd 0.5000 0.0000 0.5000
4 Pu 0.5000 0.5000 0.0000
5 N 0.2575 0.5000 0.2387
6 N 0.2642 0.0000 0.7663
7 N 0.7358 0.0000 0.2337
8 N 0.7425 0.5000 0.7613

---

VASP calculation (PBE) on a relaxed structure of Pm3Nd2PuN6.

Results
- space group = C2/m
- uncorrected energy (eV per atom) = -8.721
- density (g/cm3) = 8.9

a b c (Å): 6.2265 6.2265 6.2239
angles (deg): 99.64 99.64 119.94
Positions (direct):
1 Pm 0.0000 0.0000 0.0000
2 Pm 0.3346 0.6654 0.0000
3 Pm 0.6654 0.3346 0.0000
4 Nd 0.1664 0.8336 0.5000
5 Nd 0.8336 0.1664 0.5000
6 Pu 0.5000 0.5000 0.5000
7 N 0.1069 0.4198 0.2590
8 N 0.2654 0.2654 0.7437
9 N 0.4198 0.1069 0.2590
10 N 0.5802 0.8931 0.7410
11 N 0.7346 0.7346 0.2563
12 N 0.8931 0.5802 0.7410

---

VASP calculation (PBE) on a relaxed structure of Pm2Nd3PuN6.

Results
- space group = C2/m
- uncorrected energy (eV per atom) = -8.712
- density (g/cm3) = 8.8

a b c (Å): 6.2292 6.2292 6.2399
angles (deg): 99.62 99.62 119.92
Positions (direct):
1 Pm 0.1663 0.8337 0.0000
2 Pm 0.8337 0.1663 0.0000
3 Nd 0.0000 0.0000 0.5000
4 Nd 0.3340 0.6660 0.5000
5 Nd 0.6660 0.3340 0.5000
6 Pu 0.5000 0.5000 0.0000
7 N 0.1076 0.4216 0.7643
8 N 0.2627 0.2627 0.2394
9 N 0.4216 0.1076 0.7643
10 N 0.5784 0.8924 0.2357
11 N 0.7373 0.7373 0.7606
12 N 0.8924 0.5784 0.2357

---

VASP calculation (PBE) on a relaxed structure of PmNd2PuN4.

Results
- space group = P2/m
- uncorrected energy (eV per atom) = -9.089
- density (g/cm3) = 9.3

a b c (Å): 6.2038 3.5954 6.2103
angles (deg): 90.00 109.26 90.00
Positions (direct):
1 Pm 0.0000 0.0000 0.0000
2 Nd 0.0000 0.5000 0.5000
3 Nd 0.5000 0.0000 0.5000
4 Pu 0.5000 0.5000 0.0000
5 N 0.2586 0.5000 0.2376
6 N 0.2670 0.0000 0.7690
7 N 0.7330 0.0000 0.2310
8 N 0.7414 0.5000 0.7624

---

- Among the records above, which one has the lowest uncorrected energy?
  Pm2NdPuN4